No. 1
# Mg2BiF

A relaxed structure of Mg2BiF (PBE, Alexandria via LeMat-Bulk).

Total magnetic moment   0.000 μB per atom
Fermi-level density of states   0.000 states/eV/cell
E above lowest polymorph   400 meV per atom
SG   No. 225
Total energy   -3.183 eV per atom

Cell lengths 4.865, 4.865, 4.865 Å; angles 60.00, 60.00, 60.00 degrees
Fractional positions:
Mg: 0.250 0.250 0.250
Mg: 0.750 0.750 0.750
F: 0.000 0.000 0.000
Bi: 0.500 0.500 0.500

=====

No. 2
# Sr2BeO

A relaxed structure of Sr2BeO (PBE, Alexandria via LeMat-Bulk).

Total magnetic moment   0.153 μB per atom
Fermi-level density of states   4.075 states/eV/cell
E above lowest polymorph   641 meV per atom
SG   No. 225
Total energy   -3.235 eV per atom

Cell lengths 5.020, 5.020, 5.020 Å; angles 60.00, 60.00, 60.00 degrees
Fractional positions:
O: 0.500 0.500 0.500
Sr: 0.750 0.750 0.750
Sr: 0.250 0.250 0.250
Be: 0.000 0.000 0.000

=====

No. 3
# Na2SnI4

A relaxed structure of Na2SnI4 (PBE, Alexandria via LeMat-Bulk).

Total magnetic moment   0.000 μB per atom
Fermi-level density of states   0.000 states/eV/cell
E above lowest polymorph   0 meV per atom
SG   No. 65
Total energy   -2.774 eV per atom

Cell lengths 4.593, 8.032, 8.032 Å; angles 109.56, 90.00, 90.00 degrees
Fractional positions:
Na: 0.500 0.500 0.000
Na: 0.500 0.000 0.500
I: 0.500 0.244 0.244
I: 0.000 0.755 0.245
I: 0.000 0.245 0.755
I: 0.500 0.756 0.756
Sn: 0.000 0.000 0.000

=====

No. 4
# Ho12Al5Ag2

A relaxed structure of Ho12Al5Ag2 (PBE, Alexandria via LeMat-Bulk).

Total magnetic moment   0.000 μB per atom
Fermi-level density of states   18.797 states/eV/cell
Energy of formation from the pure elements   -0.073 eV/atom
SG   No. 12
Total energy   -4.249 eV per atom

Cell lengths 8.325, 8.547, 8.252 Å; angles 88.39, 90.00, 119.14 degrees
Fractional positions:
Al: 0.350 0.700 0.084
Al: 0.743 0.485 0.302
Al: 0.000 0.000 0.500
Al: 0.650 0.300 0.916
Al: 0.257 0.515 0.698
Ho: 0.583 0.716 0.417
Ho: 0.027 0.658 0.847
Ho: 0.417 0.284 0.583
Ho: 0.537 0.074 0.297
Ho: 0.369 0.342 0.153
Ho: 0.973 0.342 0.153
Ho: 0.941 0.882 0.160
Ho: 0.867 0.284 0.583
Ho: 0.059 0.118 0.840
Ho: 0.133 0.716 0.417
Ho: 0.463 0.926 0.703
Ho: 0.631 0.658 0.847
Ag: 0.686 0.000 0.000
Ag: 0.314 0.000 0.000

=====

No. 5
# AcCrPt4

A relaxed structure of AcCrPt4 (PBE, Alexandria via LeMat-Bulk).

Total magnetic moment   0.802 μB per atom
Fermi-level density of states   7.620 states/eV/cell
Energy of formation from the pure elements   -0.528 eV/atom
SG   No. 216
Total energy   -6.844 eV per atom

Cell lengths 5.483, 5.483, 5.483 Å; angles 60.00, 60.00, 60.00 degrees
Fractional positions:
Pt: 0.122 0.626 0.626
Pt: 0.626 0.122 0.626
Pt: 0.626 0.626 0.122
Pt: 0.626 0.626 0.626
Ac: 0.250 0.250 0.250
Cr: 0.000 0.000 0.000

=====

No. 6
# LiCdBr2

A relaxed structure of LiCdBr2 (PBE, Alexandria via LeMat-Bulk).

Total magnetic moment   0.000 μB per atom
Fermi-level density of states   1.437 states/eV/cell
E above lowest polymorph   165 meV per atom
SG   No. 123
Total energy   -2.239 eV per atom

Cell lengths 5.200, 5.200, 3.698 Å; angles 90.00, 90.00, 90.00 degrees
Fractional positions:
Li: 0.000 0.500 0.500
Br: 0.000 0.000 0.000
Br: 0.500 0.500 0.000
Cd: 0.500 0.000 0.500

=====

What is the Fermi-level density of states in the second record? 4.075 states/eV/cell

=====

Which value of total energy does entry 4 give? -4.249 eV per atom

=====

What is the total magnetic moment in the second record? 0.153 μB per atom

=====

Please write out number 4 again, unchanged.
# Ho12Al5Ag2

A relaxed structure of Ho12Al5Ag2 (PBE, Alexandria via LeMat-Bulk).

Total magnetic moment   0.000 μB per atom
Fermi-level density of states   18.797 states/eV/cell
Energy of formation from the pure elements   -0.073 eV/atom
SG   No. 12
Total energy   -4.249 eV per atom

Cell lengths 8.325, 8.547, 8.252 Å; angles 88.39, 90.00, 119.14 degrees
Fractional positions:
Al: 0.350 0.700 0.084
Al: 0.743 0.485 0.302
Al: 0.000 0.000 0.500
Al: 0.650 0.300 0.916
Al: 0.257 0.515 0.698
Ho: 0.583 0.716 0.417
Ho: 0.027 0.658 0.847
Ho: 0.417 0.284 0.583
Ho: 0.537 0.074 0.297
Ho: 0.369 0.342 0.153
Ho: 0.973 0.342 0.153
Ho: 0.941 0.882 0.160
Ho: 0.867 0.284 0.583
Ho: 0.059 0.118 0.840
Ho: 0.133 0.716 0.417
Ho: 0.463 0.926 0.703
Ho: 0.631 0.658 0.847
Ag: 0.686 0.000 0.000
Ag: 0.314 0.000 0.000